[1]
CdSnC2O: relaxed, PBE-GGA.

Properties
The calculation puts the uncorrected energy at -16.83 eV for the cell shown. The space-group type is P4/mmm, No. 123.

Cell lengths 4.046, 6.801, 4.046 Å; angles 90.00, 90.00, 90.00 degrees
Last column: magnetic moment on the atom in μB.
Fractional positions:
O 0.500 0.500 0.500  -0.06
C 0.000 0.000 0.500  0.40
C 0.500 0.000 0.000  0.49
Sn 0.000 0.000 0.000  -0.02
Cd 0.000 0.500 0.000  0.00

---

[2]
CePmPrEu: relaxed, PBE-GGA.

Properties
The space-group type is F-43m, No. 216. The formation energy is 229 meV per atom.

Cell lengths 5.871, 5.871, 5.871 Å; angles 60.00, 60.00, 60.00 degrees
Last column: magnetic moment on the atom in μB.
Fractional positions:
Eu 0.000 0.000 0.000  6.91
Pr 0.250 0.250 0.250  0.21
Pm 0.750 0.750 0.750  0.21
Ce 0.500 0.500 0.500  1.06